Record 1
## CoMo2Se (PBE)

Data for an optimized crystal structure of CoMo2Se.

abc: 2.947 4.085 4.991
angles: 90.00 104.73 90.00
Space group Pm (No. 6)
Inequivalent atoms, fractional coordinates:
1 Co 0.000 0.000 0.000 [1 per cell]
2 Mo 0.331 0.000 0.521 [1 per cell]
3 Mo 0.601 0.500 0.242 [1 per cell]
4 Se 0.904 0.500 0.772 [1 per cell]

Calculated values
Relative energy among the computed polymorphs (eV/atom): 0.063
Total DFT energy (no corrections) (eV/atom): -7.8614

=====

Record 2
## CoMo2Se (PBE)

Data for an optimized crystal structure of CoMo2Se.

abc: 9.030 2.933 4.557
angles: 90.00 107.13 90.00
Space group Cm (No. 8)
Inequivalent atoms, fractional coordinates:
1 Co 0.000 0.000 0.000 [2 per cell]
2 Mo 0.265 0.000 0.871 [2 per cell]
3 Mo 0.479 0.000 0.495 [2 per cell]
4 Se 0.233 0.500 0.331 [2 per cell]

Calculated values
Relative energy among the computed polymorphs (eV/atom): 0.027
Total DFT energy (no corrections) (eV/atom): -7.8980

=====

Number 1: E_form (uncorrected) 202 meV/atom, density 9.423 g/cm³. Number 2: E_form (uncorrected) 165 meV/atom, density 9.497 g/cm³.